A geometry-optimized SmHf5 structure, computed with GGA-PBE.

The structure in extended XYZ format:
```
6
Lattice="4.543 0.000 0.000 0.000 4.540 0.000 0.000 -2.270 6.898" Properties=species:S:1:pos:R:3 pbc="T T T"
Hf 0.000 2.270 2.385
Hf 0.000 0.000 4.513
Hf 2.271 2.270 0.000
Hf 2.271 0.000 2.377
Hf 2.271 2.270 4.521
Sm 0.000 0.000 0.000
```

## Properties
Fermi-level density of states (states/eV per cell): 8.40
Formation energy (eV per atom): 0.16
Space group: Cmmm
DFT total energy (eV/f.u.): -53.498